# Be4Pd5Pt4 (PBE-GGA, optimized geometry)
# energy relative to the elements = -0.45 eV/atom
# total DFT energy (no corrections) = -5.452 eV/atom
data_Be4Pd5Pt4
_cell_length_a 9.430
_cell_length_b 9.430
_cell_length_c 3.864
_cell_angle_alpha 90.00
_cell_angle_beta 90.00
_cell_angle_gamma 90.00
_symmetry_space_group_name_H-M 'I 4/m'
_symmetry_Int_Tables_number 87
_symmetry_space_group_name_Hall '-I 4'
loop_
_atom_site_label
_atom_site_type_symbol
_atom_site_fract_x
_atom_site_fract_y
_atom_site_fract_z
Be1 Be 0.098 0.760 0.000
Pd1 Pd 0.000 0.000 0.000
Pd2 Pd 0.111 0.183 0.500
Pt1 Pt 0.104 0.610 0.500

# KNaBe2 (PBE-GGA, optimized geometry)
# energy relative to the elements = 1.13 eV/atom
# total DFT energy (no corrections) = -1.335 eV/atom
# E above lowest polymorph = 289 meV per atom
data_KNaBe2
_cell_length_a 7.441
_cell_length_b 7.441
_cell_length_c 7.441
_cell_angle_alpha 90.00
_cell_angle_beta 90.00
_cell_angle_gamma 90.00
_symmetry_space_group_name_H-M 'F m -3 m'
_symmetry_Int_Tables_number 225
_symmetry_space_group_name_Hall '-F 4 2 3'
loop_
_atom_site_label
_atom_site_type_symbol
_atom_site_fract_x
_atom_site_fract_y
_atom_site_fract_z
K1 K 0.000 0.000 0.000
Na1 Na 0.000 0.000 0.500
Be1 Be 0.250 0.250 0.250

# Cr2Au (PBE-GGA, optimized geometry)
# energy relative to the elements = 0.24 eV/atom
# total DFT energy (no corrections) = -7.272 eV/atom
data_Cr2Au
_cell_length_a 3.913
_cell_length_b 11.495
_cell_length_c 4.059
_cell_angle_alpha 90.00
_cell_angle_beta 90.00
_cell_angle_gamma 90.00
_symmetry_space_group_name_H-M 'C m c m'
_symmetry_Int_Tables_number 63
_symmetry_space_group_name_Hall '-C 2c 2'
loop_
_atom_site_label
_atom_site_type_symbol
_atom_site_fract_x
_atom_site_fract_y
_atom_site_fract_z
Cr1 Cr 0.000 0.105 0.250
Cr2 Cr 0.000 0.253 0.750
Au1 Au 0.000 0.414 0.250

# Er4Al12Ru (PBE-GGA, optimized geometry)
# energy relative to the elements = -0.48 eV/atom
# total DFT energy (no corrections) = -4.746 eV/atom
data_Er4Al12Ru
_cell_length_a 8.606
_cell_length_b 8.606
_cell_length_c 8.606
_cell_angle_alpha 90.00
_cell_angle_beta 90.00
_cell_angle_gamma 90.00
_symmetry_space_group_name_H-M 'I m -3 m'
_symmetry_Int_Tables_number 229
_symmetry_space_group_name_Hall '-I 4 2 3'
loop_
_atom_site_label
_atom_site_type_symbol
_atom_site_fract_x
_atom_site_fract_y
_atom_site_fract_z
Er1 Er 0.250 0.250 0.250
Al1 Al 0.000 0.000 0.286
Al2 Al 0.000 0.250 0.500
Ru1 Ru 0.000 0.000 0.000